1.
## NdTlCd (PBE-GGA)

Data for crystalline NdTlCd at its relaxed geometry.

Calculated values
DFT formation energy: -0.32 eV per atom
Magnetization: 0.00 μB/cell

Geometry as CIF:
```
data_NdTlCd
_cell_length_a 5.0277
_cell_length_b 5.0277
_cell_length_c 3.7539
_cell_angle_alpha 90.00
_cell_angle_beta 90.00
_cell_angle_gamma 120.00
_symmetry_space_group_name_H-M 'P 3 m 1'
_symmetry_Int_Tables_number 156
loop_
_symmetry_equiv_pos_as_xyz
'x,y,z'
'-y,x-y,z'
'-x+y,-x,z'
'-y,-x,z'
'-x+y,y,z'
'x,x-y,z'
loop_
_atom_site_label
_atom_site_fract_x
_atom_site_fract_y
_atom_site_fract_z
_atom_site_occupancy
Nd1 0.0000 0.0000 0.0000 1
Tl1 0.3333 0.6667 0.4758 1
Cd1 0.6667 0.3333 0.5148 1
```

=====

2.
## GePRh3 (PBE-GGA)

Data for crystalline GePRh3 at its relaxed geometry.

Calculated values
ΔE to the lowest computed polymorph: 0 meV per atom
DFT formation energy: 0.08 eV per atom
Magnetization: 0.00 μB/cell

Geometry as CIF:
```
data_GePRh3
_cell_length_a 4.407
_cell_length_b 4.407
_cell_length_c 4.407
_cell_angle_alpha 90.00
_cell_angle_beta 90.00
_cell_angle_gamma 90.00
_symmetry_space_group_name_H-M 'P m -3 m'
_symmetry_Int_Tables_number 221
_symmetry_space_group_name_Hall '-P 4 2 3'
loop_
_atom_site_label
_atom_site_fract_x
_atom_site_fract_y
_atom_site_fract_z
_atom_site_occupancy
Ge1 0.000 0.000 0.000 1
P1 0.500 0.500 0.500 1
Rh1 0.000 0.500 0.500 1
```

=====

3.
## Ho7Er12Tl (PBE-GGA)

Data for crystalline Ho7Er12Tl at its relaxed geometry.

Calculated values
DFT formation energy: 0.18 eV per atom
Magnetization: 0.00 μB/cell

Geometry as CIF:
```
data_Ho7Er12Tl
_cell_length_a 11.8083
_cell_length_b 11.8083
_cell_length_c 15.6008
_cell_angle_alpha 90.00
_cell_angle_beta 90.00
_cell_angle_gamma 120.00
_symmetry_space_group_name_H-M 'R -3'
_symmetry_Int_Tables_number 148
_symmetry_space_group_name_Hall '-R 3'
loop_
_atom_site_label
_atom_site_fract_x
_atom_site_fract_y
_atom_site_fract_z
_atom_site_occupancy
Ho1 0.0000 0.0000 0.0000 1
Ho2 0.0572 0.1889 0.2945 1
Er1 0.0353 0.4579 0.2159 1
Er2 0.0544 0.5847 0.5849 1
Tl1 0.0000 0.0000 0.5000 1
```

=====

4.
## SrTmCu2Ge2 (PBE-GGA)

Data for crystalline SrTmCu2Ge2 at its relaxed geometry.

Calculated values
DFT formation energy: -0.56 eV per atom
Magnetization: 0.00 μB/cell

Geometry as CIF:
```
data_SrTmCu2Ge2
_cell_length_a 4.3250
_cell_length_b 4.3250
_cell_length_c 7.7345
_cell_angle_alpha 90.00
_cell_angle_beta 90.00
_cell_angle_gamma 120.00
_symmetry_space_group_name_H-M 'P -3 m 1'
_symmetry_Int_Tables_number 164
_symmetry_space_group_name_Hall '-P 3 2"'
loop_
_atom_site_label
_atom_site_fract_x
_atom_site_fract_y
_atom_site_fract_z
_atom_site_occupancy
Sr1 0.0000 0.0000 0.0000 1
Tm1 0.0000 0.0000 0.5000 1
Cu1 0.3333 0.6667 0.6970 1
Ge1 0.3333 0.6667 0.2893 1
```

=====

5.
## NdY2Tm (PBE-GGA)

Data for crystalline NdY2Tm at its relaxed geometry.

Calculated values
ΔE to the lowest computed polymorph: 0 meV per atom
DFT formation energy: 0.01 eV per atom
Magnetization: 0.00 μB/cell

Geometry as CIF:
```
data_NdY2Tm
_cell_length_a 3.659
_cell_length_b 11.401
_cell_length_c 6.297
_cell_angle_alpha 90.00
_cell_angle_beta 90.00
_cell_angle_gamma 90.00
_symmetry_space_group_name_H-M 'I m m 2'
_symmetry_Int_Tables_number 44
loop_
_symmetry_equiv_pos_as_xyz
'x,y,z'
'-x,-y,z'
'-x,y,z'
'x,-y,z'
'x+1/2,y+1/2,z+1/2'
'-x+1/2,-y+1/2,z+1/2'
'-x+1/2,y+1/2,z+1/2'
'x+1/2,-y+1/2,z+1/2'
loop_
_atom_site_label
_atom_site_fract_x
_atom_site_fract_y
_atom_site_fract_z
_atom_site_occupancy
Nd1 0.000 0.000 0.000 1
Y1 0.000 0.247 0.662 1
Tm1 0.000 0.500 0.995 1
```

=====

6.
## LiAc3Cu2 (PBE-GGA)

Data for crystalline LiAc3Cu2 at its relaxed geometry.

Calculated values
DFT formation energy: -0.04 eV per atom
Magnetization: 0.00 μB/cell

Geometry as CIF:
```
data_LiAc3Cu2
_cell_length_a 3.864
_cell_length_b 3.864
_cell_length_c 11.768
_cell_angle_alpha 90.00
_cell_angle_beta 90.00
_cell_angle_gamma 90.00
_symmetry_space_group_name_H-M 'P 4/m m m'
_symmetry_Int_Tables_number 123
_symmetry_space_group_name_Hall '-P 4 2'
loop_
_atom_site_label
_atom_site_fract_x
_atom_site_fract_y
_atom_site_fract_z
_atom_site_occupancy
Li1 0.000 0.000 0.000 1
Ac1 0.500 0.500 0.186 1
Ac2 0.500 0.500 0.500 1
Cu1 0.000 0.000 0.333 1
```